[1]
Material: FeSe
Method: DFT, PBE
State: optimized geometry

Cell: 5.353 3.763 6.101 Å, 90.00 90.00 90.00°
Fractional coordinates of all 8 atoms:
Fe: 0.017 0.250 0.207
Fe: 0.483 0.750 0.707
Fe: 0.517 0.250 0.293
Fe: 0.983 0.750 0.793
Se: 0.220 0.250 0.586
Se: 0.280 0.750 0.086
Se: 0.720 0.250 0.914
Se: 0.780 0.750 0.414

Summary:
The calculation puts the total magnetization at 8.52 μB/cell.

***

[2]
Material: GdTh2
Method: DFT, PBE
State: optimized geometry

Cell: 8.846 8.846 8.846 Å, 60.00 60.00 60.00°
Fractional coordinates of all 6 atoms:
Gd: 0.125 0.125 0.125
Gd: 0.875 0.875 0.875
Th: 0.000 0.000 0.000
Th: 0.000 0.000 0.500
Th: 0.000 0.500 0.000
Th: 0.500 0.000 0.000

Summary:
The energy relative to the elements comes out at 257.8 kJ per mole of atoms. The calculation puts the total magnetization at 0.02 μB/cell.

***

[3]
Material: GdMgAu4
Method: DFT, PBE
State: optimized geometry

Cell: 5.554 5.554 5.554 Å, 60.09 60.09 60.09°
Fractional coordinates of all 6 atoms:
Gd: 0.000 0.000 0.000
Mg: 0.749 0.749 0.749
Au: 0.375 0.375 0.874
Au: 0.375 0.874 0.375
Au: 0.376 0.376 0.376
Au: 0.874 0.375 0.375

Summary:
The calculation puts the total magnetization at 0.00 μB/cell.

***

[4]
Material: Zr2Ge2PdPt
Method: DFT, PBE
State: optimized geometry

Cell: 7.579 4.375 14.511 Å, 90.00 100.02 90.00°
Fractional coordinates of all 24 atoms:
Zr: 0.000 0.000 0.000
Zr: 0.000 0.500 0.499
Zr: 0.248 0.000 0.749
Zr: 0.249 0.500 0.249
Zr: 0.499 0.000 0.499
Zr: 0.500 0.500 0.000
Zr: 0.750 0.000 0.248
Zr: 0.750 0.500 0.749
Ge: 0.124 0.500 0.874
Ge: 0.126 0.000 0.374
Ge: 0.373 0.500 0.623
Ge: 0.375 0.000 0.125
Ge: 0.623 0.500 0.374
Ge: 0.625 0.000 0.874
Ge: 0.875 0.500 0.125
Ge: 0.876 0.000 0.624
Pd: 0.062 0.500 0.687
Pd: 0.063 0.000 0.187
Pd: 0.312 0.500 0.436
Pd: 0.562 0.500 0.187
Pt: 0.312 0.000 0.936
Pt: 0.562 0.000 0.687
Pt: 0.812 0.000 0.436
Pt: 0.812 0.500 0.936

Summary:
The calculation puts the total magnetization at 0.00 μB/cell.

***

[5]
Material: KNa3Zn2Sn2
Method: DFT, PBE
State: optimized geometry

Cell: 6.221 5.802 6.617 Å, 90.00 103.17 90.00°
Fractional coordinates of all 8 atoms:
K: 0.000 0.000 0.000
Na: 0.076 0.500 0.362
Na: 0.363 0.000 0.648
Na: 0.713 0.500 0.687
Zn: 0.550 0.251 0.174
Zn: 0.550 0.749 0.174
Sn: 0.281 0.500 0.894
Sn: 0.807 0.000 0.462

***

[6]
Material: HfScCo2
Method: DFT, PBE
State: optimized geometry

Cell: 6.241 6.274 3.131 Å, 90.00 90.00 90.00°
Fractional coordinates of all 8 atoms:
Hf: 0.250 0.250 0.001
Hf: 0.750 0.750 0.999
Sc: 0.250 0.750 0.002
Sc: 0.750 0.250 0.998
Co: 0.000 0.000 0.500
Co: 0.000 0.500 0.500
Co: 0.500 0.000 0.500
Co: 0.500 0.500 0.500

Summary:
The energy relative to the elements comes out at -38.6 kJ per mole of atoms. The polymorph energy (0 for the lowest one) is 0.006 eV/atom. The calculation puts the total magnetization at 2.00 μB/cell.

***

[7]
Material: Re2BiW
Method: DFT, PBE
State: optimized geometry

Cell: 4.621 4.621 4.621 Å, 60.00 60.00 60.00°
Fractional coordinates of all 4 atoms:
Re: 0.000 0.000 0.000
Re: 0.250 0.250 0.250
Bi: 0.500 0.500 0.500
W: 0.750 0.750 0.750

Summary:
The calculation puts the total magnetization at 0.00 μB/cell.

***

[8]
Material: NaLa6OsI12
Method: DFT, PBE
State: optimized geometry

Cell: 10.155 10.155 10.155 Å, 107.19 107.19 107.19°
Fractional coordinates of all 20 atoms:
Na: 0.000 0.000 0.000
La: 0.190 0.467 0.397
La: 0.397 0.190 0.467
La: 0.467 0.397 0.190
La: 0.533 0.603 0.810
La: 0.603 0.810 0.533
La: 0.810 0.533 0.603
Os: 0.500 0.500 0.500
I: 0.042 0.118 0.348
I: 0.118 0.348 0.042
I: 0.184 0.573 0.729
I: 0.271 0.816 0.427
I: 0.348 0.042 0.118
I: 0.427 0.271 0.816
I: 0.573 0.729 0.184
I: 0.652 0.958 0.882
I: 0.729 0.184 0.573
I: 0.816 0.427 0.271
I: 0.882 0.652 0.958
I: 0.958 0.882 0.652

Summary:
The calculation puts the total magnetization at 3.00 μB/cell.

***

[9]
Material: Bi3IrO2
Method: DFT, PBE
State: optimized geometry

Cell: 9.763 3.819 12.805 Å, 90.00 90.00 90.00°
Fractional coordinates of all 24 atoms:
Bi: 0.097 0.250 0.197
Bi: 0.123 0.250 0.602
Bi: 0.208 0.250 0.901
Bi: 0.292 0.750 0.401
Bi: 0.377 0.750 0.102
Bi: 0.403 0.750 0.697
Bi: 0.597 0.250 0.303
Bi: 0.623 0.250 0.898
Bi: 0.708 0.250 0.599
Bi: 0.792 0.750 0.099
Bi: 0.877 0.750 0.398
Bi: 0.903 0.750 0.803
Ir: 0.092 0.750 0.036
Ir: 0.408 0.250 0.536
Ir: 0.592 0.750 0.464
Ir: 0.908 0.250 0.964
O: 0.101 0.750 0.495
O: 0.178 0.750 0.722
O: 0.322 0.250 0.222
O: 0.399 0.250 0.995
O: 0.601 0.750 0.005
O: 0.678 0.750 0.778
O: 0.822 0.250 0.278
O: 0.899 0.250 0.505

Summary:
The calculation puts the total magnetization at 0.01 μB/cell.

***

[10]
Material: CsCoAgTe2Se
Method: DFT, PBE
State: optimized geometry

Cell: 8.752 8.752 10.605 Å, 90.00 90.00 154.33°
Fractional coordinates of all 12 atoms:
Cs: 0.243 0.757 0.750
Cs: 0.757 0.243 0.250
Co: 0.000 0.000 0.000
Co: 0.000 0.000 0.500
Ag: 0.452 0.548 0.250
Ag: 0.548 0.452 0.750
Te: 0.399 0.601 0.010
Te: 0.399 0.601 0.490
Te: 0.601 0.399 0.510
Te: 0.601 0.399 0.990
Se: 0.057 0.943 0.250
Se: 0.943 0.057 0.750

Summary:
The calculation puts the total magnetization at 1.56 μB/cell.

***

[11]
Material: LiZnCo4
Method: DFT, PBE
State: optimized geometry

Cell: 4.634 4.634 3.945 Å, 90.00 90.00 92.67°
Fractional coordinates of all 6 atoms:
Li: 0.000 0.000 0.000
Zn: 0.500 0.500 0.500
Co: 0.162 0.838 0.500
Co: 0.319 0.319 0.000
Co: 0.681 0.681 0.000
Co: 0.838 0.162 0.500

Summary:
The calculation puts the total magnetization at 6.47 μB/cell.

***

[12]
Material: BeHgS2
Method: DFT, PBE
State: optimized geometry

Cell: 3.729 3.729 5.700 Å, 90.00 90.00 90.00°
Fractional coordinates of all 4 atoms:
Be: 0.000 0.000 0.000
Hg: 0.500 0.500 0.500
S: 0.000 0.500 0.191
S: 0.500 0.000 0.809

***

Number 1: ρ 7.29 g/cm3, final energy -47.74 eV for the cell shown. Number 2: ρ 4.22 g/cm3, final energy -22.93 eV for the cell shown. Number 3: ρ 13.26 g/cm3, final energy -22.30 eV for the cell shown. Number 4: ρ 8.82 g/cm3, final energy -171.50 eV for the cell shown. Number 5: ρ 3.40 g/cm3, final energy -16.81 eV for the cell shown. Number 6: ρ 9.24 g/cm3, final energy -64.20 eV for the cell shown. Number 7: ρ 18.21 g/cm3, final energy -37.76 eV for the cell shown. Number 8: ρ 4.92 g/cm3, final energy -87.81 eV for the cell shown. Number 9: ρ 11.84 g/cm3, final energy -135.91 eV for the cell shown. Number 10: ρ 5.98 g/cm3, final energy -43.52 eV for the cell shown. Number 11: ρ 6.04 g/cm3, final energy -24.74 eV for the cell shown. Number 12: ρ 5.73 g/cm3, final energy -14.31 eV for the cell shown.